# 1
The following is a PBE-GGA calculation of crystalline In6Hg3Au at its relaxed geometry, from Alexandria via LeMat-Bulk.

abc: 11.542 3.704 12.616
angles: 90.00 102.58 90.00
Fractional coordinates of all 20 atoms:
In: 0.030 0.250 0.389
In: 0.130 0.750 0.016
In: 0.241 0.750 0.281
In: 0.243 0.250 0.712
In: 0.358 0.250 0.101
In: 0.371 0.250 0.486
In: 0.629 0.750 0.514
In: 0.642 0.750 0.899
In: 0.757 0.750 0.288
In: 0.759 0.250 0.719
In: 0.870 0.250 0.984
In: 0.970 0.750 0.611
Hg: 0.035 0.250 0.819
Hg: 0.369 0.750 0.904
Hg: 0.476 0.750 0.687
Hg: 0.524 0.250 0.313
Hg: 0.631 0.250 0.096
Hg: 0.965 0.750 0.181
Au: 0.185 0.750 0.529
Au: 0.815 0.250 0.471

Values from the calculation:
- space-group type = P2_1/m
- energy of formation from the pure elements (eV per atom) = -0.03
- size of the total moment (μB per atom) = 0.0000
- DOS(E_F) (states/eV per cell) = 7.4
- energy (eV/atom) = -2.087

# 2
The following is a PBE-GGA calculation of crystalline TiTe4Rh at its relaxed geometry, from Alexandria via LeMat-Bulk.

abc: 7.438 7.438 6.189
angles: 98.22 98.22 29.43
Fractional coordinates of all 6 atoms:
Ti: 0.000 0.000 0.000
Te: 0.118 0.118 0.392
Te: 0.376 0.376 0.124
Te: 0.624 0.624 0.876
Te: 0.882 0.882 0.608
Rh: 0.500 0.500 0.500

Values from the calculation:
- space-group type = C2/m
- energy relative to the elements, uncorrected (eV per atom) = -0.4994
- size of the total moment (μB per atom) = 0.0001
- DOS(E_F) (states/eV per cell) = 2.1
- relative energy among the computed polymorphs (kJ/mol of formula units) = 0
- energy (eV/atom) = -5.135

# 3
The following is a PBE-GGA calculation of crystalline BeAl2Sb at its relaxed geometry, from Alexandria via LeMat-Bulk.

abc: 4.681 4.681 4.681
angles: 60.00 60.00 60.00
Fractional coordinates of all 4 atoms:
Be: 0.000 0.000 0.000
Al: 0.500 0.500 0.500
Al: 0.750 0.750 0.750
Sb: 0.250 0.250 0.250

Values from the calculation:
- space-group type = F-43m
- energy relative to the elements, uncorrected (eV per atom) = 0.4728
- size of the total moment (μB per atom) = 0.0000
- DOS(E_F) (states/eV per cell) = 2.2
- relative energy among the computed polymorphs (kJ/mol of formula units) = 84
- energy (eV/atom) = -3.361

# 4
The following is a PBE-GGA calculation of crystalline Ba3GaHg at its relaxed geometry, from Alexandria via LeMat-Bulk.

abc: 6.473 6.473 6.473
angles: 90.00 90.00 90.00
Fractional coordinates of all 5 atoms:
Ba: 0.000 0.000 0.500
Ba: 0.000 0.500 0.000
Ba: 0.500 0.000 0.000
Ga: 0.000 0.000 0.000
Hg: 0.500 0.500 0.500

Values from the calculation:
- space-group type = Pm-3m
- energy of formation from the pure elements (eV per atom) = -0.05
- size of the total moment (μB per atom) = 0.2794
- DOS(E_F) (states/eV per cell) = 7.9
- relative energy among the computed polymorphs (kJ/mol of formula units) = 154
- energy (eV/atom) = -1.867